First-principles (PBE) data for a geometry-optimized PmGe3Os structure, as listed in the Alexandria database.

* space-group type: No. 107
* energy relative to the elements: -462.7 meV/atom
* density of states at the Fermi level: 0.315 states/eV/atom
* distance to the lowest polymorph of the same formula: 0.0 kJ per mole of atoms

Lattice parameters (Å, degrees): 4.425 4.425 5.980 111.71 111.71 90.00
Element x y z (fractional)
Pm 0.996 0.996 0.992
Ge 0.258 0.758 0.516
Ge 0.758 0.258 0.516
Ge 0.423 0.423 0.846
Os 0.655 0.655 0.311

=====

First-principles (PBE) data for a geometry-optimized Pm3Ge3Os structure, as listed in the Alexandria database.

* space-group type: No. 12
* energy relative to the elements: -707.8 meV/atom
* density of states at the Fermi level: 0.640 states/eV/atom
* distance to the lowest polymorph of the same formula: 0.0 kJ per mole of atoms

Lattice parameters (Å, degrees): 4.367 5.964 13.433 84.95 80.65 68.52
Element x y z (fractional)
Pm 0.521 0.335 0.623
Pm 0.479 0.665 0.377
Pm 0.256 0.256 0.232
Pm 0.744 0.744 0.768
Pm 0.401 0.279 0.920
Pm 0.599 0.721 0.080
Ge 0.860 0.737 0.544
Ge 0.140 0.263 0.456
Ge 0.119 0.836 0.926
Ge 0.881 0.164 0.074
Ge 0.949 0.860 0.241
Ge 0.051 0.140 0.759
Os 0.755 0.076 0.413
Os 0.245 0.924 0.587

=====

First-principles (PBE) data for a geometry-optimized Pm3Ge8Os3 structure, as listed in the Alexandria database.

* space-group type: No. 12
* energy relative to the elements: -372.5 meV/atom
* density of states at the Fermi level: 0.430 states/eV/atom
* distance to the lowest polymorph of the same formula: 0.0 kJ per mole of atoms

Lattice parameters (Å, degrees): 4.476 8.251 8.737 60.58 75.16 74.26
Element x y z (fractional)
Pm 0.288 0.753 0.671
Pm 0.712 0.247 0.329
Pm 0.000 0.000 0.000
Ge 0.125 0.152 0.598
Ge 0.875 0.848 0.402
Ge 0.856 0.438 0.851
Ge 0.144 0.562 0.149
Ge 0.519 0.658 0.305
Ge 0.481 0.342 0.695
Ge 0.363 0.027 0.248
Ge 0.637 0.973 0.752
Os 0.000 0.500 0.500
Os 0.677 0.652 0.995
Os 0.323 0.348 0.005

=====

First-principles (PBE) data for a geometry-optimized PmGe12Os4 structure, as listed in the Alexandria database.

* space-group type: No. 204
* energy relative to the elements: 94.8 meV/atom
* density of states at the Fermi level: 0.491 states/eV/atom

Lattice parameters (Å, degrees): 7.581 7.581 7.581 109.47 109.47 109.47
Element x y z (fractional)
Pm 0.000 0.000 0.000
Ge 0.845 0.339 0.184
Ge 0.339 0.495 0.155
Ge 0.816 0.155 0.661
Ge 0.339 0.184 0.845
Ge 0.184 0.845 0.339
Ge 0.661 0.505 0.845
Ge 0.495 0.155 0.339
Ge 0.505 0.845 0.661
Ge 0.661 0.816 0.155
Ge 0.845 0.661 0.505
Ge 0.155 0.339 0.495
Ge 0.155 0.661 0.816
Os 0.000 0.500 0.000
Os 0.500 0.000 0.000
Os 0.500 0.500 0.500
Os 0.000 0.000 0.500

=====

First-principles (PBE) data for a geometry-optimized Pm3Ge4Os2 structure, as listed in the Alexandria database.

* space-group type: No. 12
* energy relative to the elements: -609.7 meV/atom
* density of states at the Fermi level: 0.500 states/eV/atom

Lattice parameters (Å, degrees): 4.398 5.936 8.326 107.83 90.00 111.74
Element x y z (fractional)
Pm 0.619 0.238 0.700
Pm 0.000 0.000 0.000
Pm 0.381 0.762 0.300
Ge 0.712 0.423 0.082
Ge 0.288 0.577 0.918
Ge 0.902 0.804 0.596
Ge 0.098 0.196 0.404
Os 0.685 0.370 0.362
Os 0.315 0.630 0.638

=====

First-principles (PBE) data for a geometry-optimized PmGe2OsRu structure, as listed in the Alexandria database.

* space-group type: No. 119
* energy relative to the elements: -531.8 meV/atom
* density of states at the Fermi level: 0.468 states/eV/atom

Lattice parameters (Å, degrees): 4.286 4.286 5.874 111.40 111.40 90.00
Element x y z (fractional)
Pm 0.000 0.000 0.000
Ge 0.630 0.630 0.261
Ge 0.370 0.370 0.739
Os 0.250 0.750 0.500
Ru 0.750 0.250 0.500

=====

First-principles (PBE) data for a geometry-optimized PmScGe2Os structure, as listed in the Alexandria database.

* space-group type: No. 119
* energy relative to the elements: -645.2 meV/atom
* density of states at the Fermi level: 0.463 states/eV/atom

Lattice parameters (Å, degrees): 4.101 4.101 6.522 108.32 108.32 90.00
Element x y z (fractional)
Pm 0.000 0.000 0.000
Sc 0.750 0.250 0.500
Ge 0.608 0.608 0.216
Ge 0.392 0.392 0.784
Os 0.250 0.750 0.500

=====

First-principles (PBE) data for a geometry-optimized PmTaGe2Os structure, as listed in the Alexandria database.

* space-group type: No. 119
* energy relative to the elements: -434.0 meV/atom
* density of states at the Fermi level: 0.555 states/eV/atom

Lattice parameters (Å, degrees): 4.076 4.076 6.450 108.42 108.42 90.00
Element x y z (fractional)
Pm 0.000 0.000 0.000
Ta 0.250 0.750 0.500
Ge 0.611 0.611 0.222
Ge 0.389 0.389 0.778
Os 0.750 0.250 0.500